This record from Alexandria describes an optimized crystal structure of HfCo2GeC. The functional is PBE.

The total energy is -37.6 eV/cell. The calculation puts the energy of formation from the pure elements at 80 meV/atom. As for the magnetization: 0.00 μB/cell.

Cell lengths 3.7379, 4.6891, 3.7379 Å; angles 90.00, 90.00, 90.00 degrees
Last column: nearest neighbours and their distance in Å.
Atoms (fractional coordinates):
Co  0.5000  0.0000  0.0000  2 C 1.87
C  0.0000  0.0000  0.0000  4 Co 1.87
Ge  0.0000  0.5000  0.0000  2 C 2.34
Hf  0.5000  0.5000  0.5000  4 Ge 2.64
Co  0.0000  0.0000  0.5000  2 C 1.87

=====

This record from Alexandria describes an optimized crystal structure of Dy2Ho3Er6Pb. The functional is PBE.

The total energy is -54.6 eV/cell. The calculation puts the energy of formation from the pure elements at -50 meV/atom. As for the magnetization: 0.00 μB/cell.

Cell lengths 6.0477, 6.0477, 11.5977 Å; angles 95.01, 95.01, 120.03 degrees
Last column: nearest neighbours and their distance in Å.
Atoms (fractional coordinates):
Pb  0.0000  0.0000  0.0000  6 Er 3.47-3.49, 6 Dy 3.49-3.50
Er  0.9173  0.5877  0.7512  6 Er 3.45-3.51, 1 Pb 3.47, 2 Dy 3.49, 3 Ho 3.50-3.52
Er  0.0827  0.4123  0.2488  6 Er 3.45-3.51, 1 Pb 3.47, 2 Dy 3.49, 3 Ho 3.50-3.52
Ho  0.5000  0.5000  0.5000  6 Ho 3.49, 6 Er 3.50-3.51
Dy  0.3339  0.6661  0.0000  3 Dy 3.48-3.50, 3 Pb 3.49-3.50, 6 Er 3.49-3.50
Er  0.2466  0.2466  0.7499  6 Er 3.45-3.51, 1 Pb 3.49, 3 Ho 3.49-3.51, 2 Dy 3.50
Er  0.4123  0.0827  0.2488  6 Er 3.45-3.51, 1 Pb 3.47, 2 Dy 3.49, 3 Ho 3.50-3.52
Dy  0.6661  0.3339  0.0000  3 Dy 3.48-3.50, 3 Pb 3.49-3.50, 6 Er 3.49-3.50
Er  0.7534  0.7534  0.2501  6 Er 3.45-3.51, 1 Pb 3.49, 3 Ho 3.49-3.51, 2 Dy 3.50
Ho  0.8329  0.1671  0.5000  6 Ho 3.49-3.50, 6 Er 3.49-3.52
Er  0.5877  0.9173  0.7512  6 Er 3.45-3.51, 1 Pb 3.47, 2 Dy 3.49, 3 Ho 3.50-3.52
Ho  0.1671  0.8329  0.5000  6 Ho 3.49-3.50, 6 Er 3.49-3.52

=====

This record from Alexandria describes an optimized crystal structure of Ce6PuPa. The functional is PBE.

The total energy is -59.2 eV/cell. The calculation puts the energy of formation from the pure elements at 34 meV/atom. As for the magnetization: 5.31 μB/cell.

Cell lengths 4.6901, 4.6901, 9.2847 Å; angles 90.00, 90.00, 90.00 degrees
Last column: nearest neighbours and their distance in Å.
Atoms (fractional coordinates):
Ce  0.5000  0.5000  0.5000  8 Ce 3.31, 4 Pa 3.32
Ce  0.0000  0.5000  0.7510  2 Pu 3.29, 8 Ce 3.29-3.32, 2 Pa 3.31
Ce  0.5000  0.5000  0.0000  8 Ce 3.29, 4 Pu 3.32
Pa  0.0000  0.0000  0.5000  12 Ce 3.31-3.32
Ce  0.5000  0.0000  0.7510  8 Ce 3.29-3.32, 2 Pu 3.29, 2 Pa 3.31
Ce  0.5000  0.0000  0.2490  8 Ce 3.29-3.32, 2 Pu 3.29, 2 Pa 3.31
Ce  0.0000  0.5000  0.2490  2 Pu 3.29, 8 Ce 3.29-3.32, 2 Pa 3.31
Pu  0.0000  0.0000  0.0000  12 Ce 3.29-3.32

=====

This record from Alexandria describes an optimized crystal structure of Rb2BiO3. The functional is PBE.

The uncorrected formation energy comes out at -1241.5 meV/atom. The total energy is -112.6 eV/cell. As for the magnetization: 0.36 μB/cell.

Cell lengths 6.4617, 7.3936, 11.2547 Å; angles 90.00, 90.00, 90.00 degrees
Last column: nearest neighbours and their distance in Å.
Atoms (fractional coordinates):
Rb  0.7352  0.6139  0.9138  5 O 2.85-3.10
Rb  0.7648  0.1139  0.4138  5 O 2.85-3.10
O  0.0123  0.2762  0.8768  2 Bi 2.23-2.31
Bi  0.7832  0.1582  0.7500  5 O 2.08-2.31
Rb  0.7648  0.1139  0.0862  5 O 2.85-3.10
O  0.3643  0.6141  0.7500  1 Bi 2.08
O  0.9877  0.7238  0.1232  2 Bi 2.23-2.31
O  0.1357  0.1141  0.2500  1 Bi 2.08
O  0.6357  0.3859  0.2500  1 Bi 2.08
Rb  0.2352  0.8861  0.5862  5 O 2.85-3.10
O  0.0123  0.2762  0.6232  2 Bi 2.23-2.31
Rb  0.2648  0.3861  0.0862  5 O 2.85-3.10
Rb  0.2648  0.3861  0.4138  5 O 2.85-3.10
Bi  0.2832  0.3418  0.7500  5 O 2.08-2.31
Rb  0.7352  0.6139  0.5862  5 O 2.85-3.10
Bi  0.2168  0.8418  0.2500  5 O 2.08-2.31
O  0.5123  0.2238  0.6232  2 Bi 2.23-2.31
O  0.5123  0.2238  0.8768  2 Bi 2.23-2.31
Bi  0.7168  0.6582  0.2500  5 O 2.08-2.31
O  0.8643  0.8859  0.7500  1 Bi 2.08
Rb  0.2352  0.8861  0.9138  5 O 2.85-3.10
O  0.4877  0.7762  0.3768  2 Bi 2.23-2.31
O  0.9877  0.7238  0.3768  2 Bi 2.23-2.31
O  0.4877  0.7762  0.1232  2 Bi 2.23-2.31

=====

This record from Alexandria describes an optimized crystal structure of Mg2Si3. The functional is PBE.

The uncorrected formation energy comes out at 90.3 meV/atom. The total energy is -76.0 eV/cell. As for the magnetization: 0.00 μB/cell.

Cell lengths 3.7819, 6.2433, 17.4664 Å; angles 84.36, 83.27, 72.74 degrees
Last column: nearest neighbours and their distance in Å.
Atoms (fractional coordinates):
Si  0.5433  0.8494  0.8789  3 Si 2.44-2.57
Si  0.2069  0.3374  0.1360  3 Si 2.38-2.42
Si  0.2029  0.5814  0.8575  3 Si 2.40-2.57
Mg  0.4564  0.5031  0.4254  6 Si 2.72-3.04, 1 Mg 3.04
Mg  0.2466  0.9115  0.0504  4 Si 2.72-2.75
Si  0.6801  0.8299  0.6258  3 Si 2.41-2.42
Mg  0.5850  0.4215  0.2542  7 Si 2.75-2.90, 1 Mg 3.04
Mg  0.9435  0.3845  0.5696  5 Si 2.74-3.04, 1 Mg 3.04
Si  0.4776  0.2054  0.6706  1 Si 2.42
Si  0.9741  0.7121  0.1814  2 Si 2.42
Mg  0.8348  0.2140  0.9046  5 Si 2.71-3.02
Mg  0.8170  0.4770  0.7400  5 Si 2.79-2.88, 1 Mg 3.04
Si  0.9044  0.6543  0.9854  3 Si 2.40-2.44
Si  0.2471  0.7872  0.5419  3 Si 2.41
Mg  0.3139  0.9799  0.2411  7 Si 2.71-2.94
Si  0.7036  0.0700  0.3650  3 Si 2.40-2.42
Si  0.7521  0.3342  0.0519  3 Si 2.38-2.40
Mg  0.0524  0.9497  0.7504  7 Si 2.73-3.00
Si  0.9173  0.6925  0.3211  2 Si 2.42
Si  0.1408  0.1051  0.4487  3 Si 2.40-2.41

=====

This record from Alexandria describes an optimized crystal structure of Cr2PtW. The functional is PBE.

The total energy is -37.5 eV/cell. The calculation puts the energy of formation from the pure elements at 191 meV/atom. As for the magnetization: 0.59 μB/cell.

Cell lengths 8.6646, 8.6646, 8.6646 Å; angles 18.40, 18.40, 18.40 degrees
Last column: nearest neighbours and their distance in Å.
Atoms (fractional coordinates):
Cr  0.2580  0.2580  0.2580  3 Cr 2.34
Cr  0.9915  0.9915  0.9915  3 Cr 2.34
Pt  0.5046  0.5046  0.5046  3 Cr 2.73, 6 Pt 2.77, 3 W 2.84
W  0.7460  0.7460  0.7460  3 Cr 2.76, 6 W 2.77, 3 Pt 2.84

=====

This record from Alexandria describes an optimized crystal structure of TaMo. The functional is PBE.

The total energy is -133.4 eV/cell. The calculation puts the energy of formation from the pure elements at 221 meV/atom. As for the magnetization: 0.00 μB/cell.

Cell lengths 14.4200, 2.7869, 5.2141 Å; angles 90.00, 90.00, 90.00 degrees
Last column: nearest neighbours and their distance in Å.
Atoms (fractional coordinates):
Ta  0.1691  0.0498  0.1664  3 Ta 2.79-2.95, 5 Mo 2.81-2.86
Ta  0.8309  0.0498  0.1664  3 Ta 2.79-2.95, 5 Mo 2.81-2.86
Mo  0.1600  0.4318  0.6667  5 Ta 2.74-2.86, 3 Mo 2.79-2.84
Ta  0.0000  0.6695  0.9216  4 Mo 2.59-2.74, 2 Ta 2.79
Mo  0.3400  0.5682  0.1667  5 Ta 2.74-2.86, 3 Mo 2.79-2.84
Mo  0.5000  0.2040  0.9142  4 Ta 2.59-2.85, 4 Mo 2.79-2.84
Ta  0.3309  0.9502  0.6664  3 Ta 2.79-2.95, 5 Mo 2.81-2.86
Mo  0.8400  0.4318  0.6667  5 Ta 2.74-2.86, 3 Mo 2.79-2.84
Mo  0.0000  0.7960  0.4142  4 Ta 2.59-2.85, 4 Mo 2.79-2.84
Ta  0.6691  0.9502  0.6664  3 Ta 2.79-2.95, 5 Mo 2.81-2.86
Ta  0.5000  0.3305  0.4216  4 Mo 2.59-2.74, 2 Ta 2.79
Mo  0.6600  0.5682  0.1667  5 Ta 2.74-2.86, 3 Mo 2.79-2.84

=====

This record from Alexandria describes an optimized crystal structure of Ac2Mg2Cd5. The functional is PBE.

The total energy is -17.5 eV/cell. The calculation puts the energy of formation from the pure elements at -165 meV/atom. As for the magnetization: 0.00 μB/cell.

Cell lengths 5.2375, 5.2375, 9.2451 Å; angles 90.00, 90.00, 90.00 degrees
Last column: nearest neighbours and their distance in Å.
Atoms (fractional coordinates):
Cd  0.5000  0.0000  0.7270  2 Mg 2.84
Cd  0.5000  0.0000  0.2730  2 Mg 2.84
Ac  0.0000  0.0000  0.0000  8 Cd 3.64, 8 Mg 3.97
Cd  0.0000  0.5000  0.7270  2 Mg 2.84
Ac  0.0000  0.0000  0.5000  12 Cd 3.36-3.70
Cd  0.0000  0.5000  0.2730  2 Mg 2.84
Cd  0.5000  0.5000  0.5000  2 Mg 3.20, 8 Cd 3.36
Mg  0.5000  0.5000  0.1541  4 Cd 2.84, 1 Mg 2.85
Mg  0.5000  0.5000  0.8459  4 Cd 2.84, 1 Mg 2.85

=====

This record from Alexandria describes an optimized crystal structure of NbCr2. The functional is PBE.

The total energy is -59.0 eV/cell. The calculation puts the energy of formation from the pure elements at -54 meV/atom. As for the magnetization: 0.00 μB/cell.

Cell lengths 4.9178, 4.9178, 4.9178 Å; angles 60.00, 60.00, 60.00 degrees
Last column: nearest neighbours and their distance in Å.
Atoms (fractional coordinates):
Nb  0.0000  0.0000  0.0000  12 Cr 2.88, 4 Nb 3.01
Cr  0.6250  0.6250  0.1250  6 Cr 2.46
Cr  0.6250  0.1250  0.6250  6 Cr 2.46
Nb  0.2500  0.2500  0.2500  12 Cr 2.88, 4 Nb 3.01
Cr  0.1250  0.6250  0.6250  6 Cr 2.46
Cr  0.6250  0.6250  0.6250  6 Cr 2.46

=====

This record from Alexandria describes an optimized crystal structure of Sm5HgAu2. The functional is PBE.

The total energy is -64.7 eV/cell. The calculation puts the energy of formation from the pure elements at -237 meV/atom. As for the magnetization: 0.00 μB/cell.

Cell lengths 5.5786, 7.9039, 12.3485 Å; angles 90.00, 90.00, 110.66 degrees
Last column: nearest neighbours and their distance in Å.
Atoms (fractional coordinates):
Hg  0.7925  0.5850  0.7500  6 Sm 2.97-3.32, 2 Au 3.26
Sm  0.7765  0.5529  0.2500  2 Au 2.97, 2 Hg 2.97
Sm  0.0256  0.0512  0.3764  1 Au 2.94, 1 Hg 3.11, 2 Sm 3.12-3.15
Au  0.8115  0.6230  0.0133  5 Sm 2.94-3.06, 1 Hg 3.26
Sm  0.2235  0.4471  0.7500  2 Au 2.97, 2 Hg 2.97
Au  0.8115  0.6230  0.4867  5 Sm 2.94-3.06, 1 Hg 3.26
Sm  0.9744  0.9488  0.6236  1 Au 2.94, 1 Hg 3.11, 2 Sm 3.12-3.15
Sm  0.3789  0.7577  0.0770  3 Au 3.03-3.06, 1 Hg 3.32
Au  0.1885  0.3770  0.5133  5 Sm 2.94-3.06, 1 Hg 3.26
Au  0.1885  0.3770  0.9867  5 Sm 2.94-3.06, 1 Hg 3.26
Sm  0.6211  0.2423  0.5770  3 Au 3.03-3.06, 1 Hg 3.32
Hg  0.2075  0.4150  0.2500  6 Sm 2.97-3.32, 2 Au 3.26
Sm  0.6211  0.2423  0.9230  3 Au 3.03-3.06, 1 Hg 3.32
Sm  0.3789  0.7577  0.4230  3 Au 3.03-3.06, 1 Hg 3.32
Sm  0.0256  0.0512  0.1236  1 Au 2.94, 1 Hg 3.11, 2 Sm 3.12-3.15
Sm  0.9744  0.9488  0.8764  1 Au 2.94, 1 Hg 3.11, 2 Sm 3.12-3.15

=====

This record from Alexandria describes an optimized crystal structure of Pm12Nd6Sm. The functional is PBE.

The total energy is -87.8 eV/cell. The calculation puts the energy of formation from the pure elements at 132 meV/atom. As for the magnetization: 0.00 μB/cell.

Cell lengths 8.7414, 8.7414, 8.7414 Å; angles 89.26, 89.26, 89.26 degrees
Last column: nearest neighbours and their distance in Å.
Atoms (fractional coordinates):
Pm  0.5358  0.4357  0.7784  6 Pm 3.35-3.75, 3 Nd 3.43-3.50
Nd  0.9054  0.3034  0.7380  7 Pm 3.43-3.75, 1 Sm 3.58, 2 Nd 3.61
Sm  0.0000  0.0000  0.0000  6 Nd 3.58, 6 Pm 3.60
Pm  0.6404  0.9827  0.8048  4 Pm 3.50-3.68, 4 Nd 3.57-3.75, 1 Sm 3.60
Pm  0.5643  0.2216  0.4642  6 Pm 3.35-3.75, 3 Nd 3.43-3.50
Pm  0.0173  0.1952  0.3596  4 Pm 3.50-3.68, 4 Nd 3.57-3.75, 1 Sm 3.60
Nd  0.2620  0.0946  0.6966  7 Pm 3.43-3.75, 1 Sm 3.58, 2 Nd 3.61
Pm  0.8048  0.6404  0.9827  4 Pm 3.50-3.68, 4 Nd 3.57-3.75, 1 Sm 3.60
Pm  0.4357  0.7784  0.5358  6 Pm 3.35-3.75, 3 Nd 3.43-3.50
Pm  0.9827  0.8048  0.6404  4 Pm 3.50-3.68, 4 Nd 3.57-3.75, 1 Sm 3.60
Pm  0.1952  0.3596  0.0173  4 Pm 3.50-3.68, 4 Nd 3.57-3.75, 1 Sm 3.60
Pm  0.4642  0.5643  0.2216  6 Pm 3.35-3.75, 3 Nd 3.43-3.50
Pm  0.2216  0.4642  0.5643  6 Pm 3.35-3.75, 3 Nd 3.43-3.50
Nd  0.7380  0.9054  0.3034  7 Pm 3.43-3.75, 1 Sm 3.58, 2 Nd 3.61
Pm  0.3596  0.0173  0.1952  4 Pm 3.50-3.68, 4 Nd 3.57-3.75, 1 Sm 3.60
Nd  0.0946  0.6966  0.2620  7 Pm 3.43-3.75, 1 Sm 3.58, 2 Nd 3.61
Pm  0.7784  0.5358  0.4357  6 Pm 3.35-3.75, 3 Nd 3.43-3.50
Nd  0.6966  0.2620  0.0946  7 Pm 3.43-3.75, 1 Sm 3.58, 2 Nd 3.61
Nd  0.3034  0.7380  0.9054  7 Pm 3.43-3.75, 1 Sm 3.58, 2 Nd 3.61

=====

Q: The highest magnetization belongs to which entry?
A: Ce6PuPa

=====

Q: Which formula does entry 7 have?
A: TaMo